Entry 1:
# LiB5Os

LiB5Os after structural relaxation (PBE-GGA, the Alexandria database).

Geometry as POSCAR:
```
LiB5Os
1.0
2.963 0.000 0.000
1.462 5.363 0.000
1.451 2.040 7.365
Li B Os
2 10 2
direct
0.000 0.000 0.000
0.500 0.500 0.500
0.009 0.284 0.702
0.151 0.405 0.290
0.176 0.137 0.511
0.268 0.406 0.060
0.384 0.417 0.820
0.616 0.583 0.180
0.732 0.594 0.940
0.824 0.863 0.489
0.849 0.595 0.710
0.991 0.716 0.298
0.363 0.000 0.272
0.637 0.000 0.728
```

Summary:
For the calculated formation energy, the calculation gives 0.09 eV per atom. Its space group is No. 2. The calculation puts the theoretical density at 7.1 g cm⁻³. The total magnetic moment comes out at 0.00 μB per cell.

=====

Entry 2:
# Al6Ga12Ag

Al6Ga12Ag after structural relaxation (PBE-GGA, the Alexandria database).

Geometry as POSCAR:
```
Al6Ga12Ag
1.0
5.513 3.183 3.473
-5.513 3.183 3.473
0.000 -6.366 3.473
Al Ga Ag
6 12 1
direct
0.035 0.325 0.231
0.231 0.035 0.325
0.325 0.231 0.035
0.675 0.769 0.965
0.769 0.965 0.675
0.965 0.675 0.769
0.004 0.681 0.142
0.142 0.004 0.681
0.175 0.642 0.492
0.319 0.858 0.996
0.358 0.508 0.825
0.492 0.175 0.642
0.508 0.825 0.358
0.642 0.492 0.175
0.681 0.142 0.004
0.825 0.358 0.508
0.858 0.996 0.319
0.996 0.319 0.858
0.500 0.500 0.500
```

Summary:
For the calculated formation energy, the calculation gives 0.05 eV per atom. Its space group is No. 148. The calculation puts the theoretical density at 5.0 g cm⁻³. The total magnetic moment comes out at 0.00 μB per cell. The offset from the most stable computed form is 0.0000 eV per atom.

=====

Entry 3:
# NaZn4Ga12

NaZn4Ga12 after structural relaxation (PBE-GGA, the Alexandria database).

Geometry as POSCAR:
```
NaZn4Ga12
1.0
-4.442 4.442 4.442
4.442 -4.442 4.442
4.442 4.442 -4.442
Na Zn Ga
1 4 12
direct
0.000 0.000 0.000
0.000 0.000 0.500
0.000 0.500 0.000
0.500 0.000 0.000
0.500 0.500 0.500
0.152 0.504 0.352
0.152 0.800 0.648
0.200 0.352 0.848
0.352 0.152 0.504
0.352 0.848 0.200
0.496 0.648 0.848
0.504 0.352 0.152
0.648 0.152 0.800
0.648 0.848 0.496
0.800 0.648 0.152
0.848 0.200 0.352
0.848 0.496 0.648
```

Summary:
For the calculated formation energy, the calculation gives 0.08 eV per atom. Its space group is No. 204. The calculation puts the theoretical density at 5.3 g cm⁻³. The total magnetic moment comes out at 0.00 μB per cell.